[1]
! PBE CuSbOs, optimized geometry; values from VASP
! Energy above the lowest structure with this stoichiometry, meV/atom: 6
&SYSTEM
  ibrav = 0, nat = 3, ntyp = 3
/
ATOMIC_SPECIES
Cu 63.55 Cu.upf
Os 190.23 Os.upf
Sb 121.76 Sb.upf
CELL_PARAMETERS angstrom
4.8906 0.0027 0.0000
2.6197 4.1297 0.0000
-3.7551 -2.0662 2.3553
ATOMIC_POSITIONS crystal
Cu 0.9992 0.9992 0.0000
Os 0.3341 0.3341 0.0000
Sb 0.6668 0.6668 0.0000


[2]
! PBE Nd3Ho2Th4, optimized geometry; values from VASP
! Calculated formation energy, eV/atom: 0.0670
&SYSTEM
  ibrav = 0, nat = 9, ntyp = 3
/
ATOMIC_SPECIES
Nd 144.24 Nd.upf
Ho 164.93 Ho.upf
Th 232.04 Th.upf
CELL_PARAMETERS angstrom
6.1865 -0.3081 -0.7526
-3.3122 4.1988 -3.1835
-1.6639 -0.7355 12.8081
ATOMIC_POSITIONS crystal
Nd 0.5547 0.1099 0.6686
Nd 0.0000 0.0000 0.0000
Nd 0.4453 0.8901 0.3314
Ho 0.7731 0.5486 0.3313
Ho 0.2269 0.4514 0.6687
Th 0.6628 0.3329 0.0006
Th 0.3372 0.6671 0.9994
Th 0.8946 0.7921 0.6685
Th 0.1054 0.2079 0.3315


[3]
Entry from Alexandria via LeMat-Bulk: a relaxed Ba3La3NdSe8 crystal (PBE). Values from VASP.

The structure in Quantum ESPRESSO input format:
```
&SYSTEM
  ibrav = 0, nat = 15, ntyp = 4
/
ATOMIC_SPECIES
Ba 137.33 Ba.upf
La 138.91 La.upf
Nd 144.24 Nd.upf
Se 78.96 Se.upf
CELL_PARAMETERS angstrom
-3.4910 7.9951 1.1797
-4.9092 -6.4967 -3.3457
2.2854 -0.3031 8.8168
ATOMIC_POSITIONS crystal
Ba 0.0000 0.0000 0.0000
Ba 0.0000 0.5000 0.0000
Ba 0.5000 0.5000 0.0000
La 0.5000 0.0000 0.5000
La 0.5000 0.5000 0.5000
La 0.0000 0.5000 0.5000
Nd 0.0000 0.0000 0.5000
Se 0.2578 0.5155 0.2733
Se 0.7422 0.4845 0.7267
Se 0.7623 0.5245 0.2806
Se 0.2377 0.4755 0.7194
Se 0.7623 0.0183 0.2806
Se 0.2377 0.9817 0.7194
Se 0.2561 0.0183 0.2806
Se 0.7439 0.9817 0.7194
```


[4]
! PBE Sr2In4Ir, optimized geometry; values from VASP
! Calculated formation energy, eV/atom: -0.2076
&SYSTEM
  ibrav = 0, nat = 7, ntyp = 3
/
ATOMIC_SPECIES
Sr 87.62 Sr.upf
Ir 192.22 Ir.upf
In 114.82 In.upf
CELL_PARAMETERS angstrom
5.1191 0.0000 0.0000
0.0000 5.1191 0.0000
2.5596 2.5596 8.7504
ATOMIC_POSITIONS crystal
Sr 0.6570 0.6570 0.6859
Sr 0.3430 0.3430 0.3141
Ir 0.0000 0.0000 0.0000
In 0.8457 0.8457 0.3086
In 0.1543 0.1543 0.6914
In 0.0000 0.5000 0.0000
In 0.5000 0.0000 0.0000


[5]
Entry from Alexandria via LeMat-Bulk: a relaxed AlSi2Ni2 crystal (PBE). Values from VASP.

The structure in Quantum ESPRESSO input format:
```
&SYSTEM
  ibrav = 0, nat = 10, ntyp = 3
/
ATOMIC_SPECIES
Al 26.98 Al.upf
Si 28.09 Si.upf
Ni 58.69 Ni.upf
CELL_PARAMETERS angstrom
4.2247 4.5110 5.2766
0.6822 6.6618 3.4409
-0.4086 -1.3441 4.3094
ATOMIC_POSITIONS crystal
Al 0.0000 0.0000 0.0000
Al 0.2500 0.2500 0.2500
Si 0.9064 0.9064 0.5936
Si 0.5936 0.5936 0.9064
Si 0.3436 0.3436 0.6564
Si 0.6564 0.6564 0.3436
Ni 0.0782 0.0782 0.4218
Ni 0.4218 0.4218 0.0782
Ni 0.1718 0.1718 0.8282
Ni 0.8282 0.8282 0.1718
```


[6]
! PBE NbTlBiIr2, optimized geometry; values from VASP
! Calculated formation energy, eV/atom: 2.1498
! Energy above the lowest structure with this stoichiometry, meV/atom: 102
&SYSTEM
  ibrav = 0, nat = 5, ntyp = 4
/
ATOMIC_SPECIES
Tl 204.38 Tl.upf
Ir 192.22 Ir.upf
Bi 208.98 Bi.upf
Nb 92.91 Nb.upf
CELL_PARAMETERS angstrom
4.9241 0.0000 0.0000
0.0000 5.4340 0.0000
0.0000 0.0000 4.9241
ATOMIC_POSITIONS crystal
Tl 0.0000 0.0000 0.0000
Ir 0.0000 0.0000 0.5000
Ir 0.5000 0.0000 0.0000
Bi 0.0000 0.5000 0.0000
Nb 0.5000 0.5000 0.5000


The following E values (in eV/atom) correspond, in order, to the records above: -6.118, -5.837, -5.539, -3.519, -5.550, -4.658.